# 1
# Tb5Tm3Tl2 GGA-PBE relaxed
data_Tb5Tm3Tl2
_chemical_formula_sum 'Tb20 Tm12 Tl8'
_cell_length_a 12.9375
_cell_length_b 15.3377
_cell_length_c 6.4215
_cell_angle_alpha 90.00
_cell_angle_beta 90.00
_cell_angle_gamma 90.00
_space_group_name_H-M_alt 'I b a m'
_space_group_IT_number 72
_space_group_name_Hall '-I 2 2c'
loop_
_atom_site_label
_atom_site_type_symbol
_atom_site_fract_x
_atom_site_fract_y
_atom_site_fract_z
Tb1 Tb 0.0000 0.0000 0.2500
Tb2 Tb 0.1053 0.1680 0.0000
Tb3 Tb 0.2478 0.0000 0.2500
Tm1 Tm 0.0000 0.5000 0.2500
Tm2 Tm 0.1253 0.2882 0.5000
Tl1 Tl 0.1273 0.3577 0.0000
# E	-3.9525	eV per atom

=====

# 2
# Tb2Tm7Tl2 GGA-PBE relaxed
data_Tb2Tm7Tl2
_chemical_formula_sum 'Tb4 Tm14 Tl4'
_cell_length_a 3.6194
_cell_length_b 19.5239
_cell_length_c 9.5516
_cell_angle_alpha 90.00
_cell_angle_beta 90.00
_cell_angle_gamma 90.00
_space_group_name_H-M_alt 'I m m 2'
_space_group_IT_number 44
loop_
_space_group_symop_operation_xyz
'x,y,z'
'-x,-y,z'
'-x,y,z'
'x,-y,z'
'x+1/2,y+1/2,z+1/2'
'-x+1/2,-y+1/2,z+1/2'
'-x+1/2,y+1/2,z+1/2'
'x+1/2,-y+1/2,z+1/2'
loop_
_atom_site_label
_atom_site_type_symbol
_atom_site_fract_x
_atom_site_fract_y
_atom_site_fract_z
Tb1 Tb 0.0000 0.0000 0.0000
Tb2 Tb 0.0000 0.5000 0.1724
Tm1 Tm 0.0000 0.1328 0.5341
Tm2 Tm 0.0000 0.1588 0.1643
Tm3 Tm 0.0000 0.3663 0.3525
Tm4 Tm 0.0000 0.5000 0.8253
Tl1 Tl 0.0000 0.2582 0.8763
# E	-4.1288	eV per atom

=====

# 3
# TbTm12Tl6 GGA-PBE relaxed
data_TbTm12Tl6
_chemical_formula_sum 'Tb3 Tm36 Tl18'
_cell_length_a 13.8867
_cell_length_b 13.8867
_cell_length_c 10.9814
_cell_angle_alpha 90.00
_cell_angle_beta 90.00
_cell_angle_gamma 120.00
_space_group_name_H-M_alt 'R -3 m'
_space_group_IT_number 166
_space_group_name_Hall '-R 3 2"'
loop_
_atom_site_label
_atom_site_type_symbol
_atom_site_fract_x
_atom_site_fract_y
_atom_site_fract_z
Tb1 Tb 0.0000 0.0000 0.0000
Tm1 Tm 0.0000 0.3690 0.5000
Tm2 Tm 0.0880 0.1759 0.3583
Tl1 Tl 0.0321 0.5160 0.2795
# E	-3.7837	eV per atom

=====

# 4
# Tb7Tm12Tl GGA-PBE relaxed
data_Tb7Tm12Tl
_chemical_formula_sum 'Tb21 Tm36 Tl3'
_cell_length_a 11.7823
_cell_length_b 11.7823
_cell_length_c 15.6658
_cell_angle_alpha 90.00
_cell_angle_beta 90.00
_cell_angle_gamma 120.00
_space_group_name_H-M_alt 'R -3'
_space_group_IT_number 148
_space_group_name_Hall '-R 3'
loop_
_atom_site_label
_atom_site_type_symbol
_atom_site_fract_x
_atom_site_fract_y
_atom_site_fract_z
Tb1 Tb 0.0000 0.0000 0.0000
Tb2 Tb 0.0595 0.1881 0.2928
Tm1 Tm 0.0363 0.4585 0.2161
Tm2 Tm 0.0546 0.5833 0.5850
Tl1 Tl 0.0000 0.0000 0.5000
# E	-4.2416	eV per atom

=====

Respective E_form values: 0.177 -0.011 0.031 0.180 eV/atom.
Respective total moment values: 0.000 0.000 0.000 0.000 μB/atom.